1.
La2SmY after structural relaxation, computed with PBE-GGA.

abc: 5.225 5.225 5.110
angles: 90.00 90.00 90.00
Sites, in units of the cell vectors:
La: 0.000 0.500 0.000
La: 0.500 0.000 0.000
Sm: 0.000 0.000 0.500
Y: 0.500 0.500 0.500

DFT formation energy   0.016 eV/atom
Space-group type   P4/mmm, No. 123
Relative energy among the computed polymorphs   0.0 meV per atom
Total energy   -0.193 hartree per atom
Spin magnetization   0.000 μB per atom
N(E_F)   6.16 states/eV/f.u.
V   34.87 Å³/atom

---

2.
Ag2Cl2O after structural relaxation, computed with PBE-GGA.

abc: 4.389 6.451 8.578
angles: 92.26 97.92 95.08
Sites, in units of the cell vectors:
Ag: 0.162 0.469 0.350
Ag: 0.301 0.995 0.634
Ag: 0.699 0.005 0.366
Ag: 0.838 0.531 0.650
Cl: 0.155 0.156 0.197
Cl: 0.499 0.324 0.785
Cl: 0.501 0.676 0.215
Cl: 0.845 0.844 0.803
O: 0.118 0.701 0.516
O: 0.882 0.299 0.484

Space-group type   P-1, No. 2
Total energy   -0.113 hartree per atom
Spin magnetization   0.000 μB per atom
N(E_F)   2.23 states/eV/f.u.
V   23.93 Å³/atom
Formation energy from raw total energies   -0.20 eV/atom

---

3.
La3Sm2In2 after structural relaxation, computed with PBE-GGA.

abc: 6.187 6.187 8.204
angles: 95.63 95.63 44.71
Sites, in units of the cell vectors:
La: 0.000 0.000 0.000
La: 0.134 0.134 0.429
La: 0.866 0.866 0.571
Sm: 0.269 0.269 0.849
Sm: 0.731 0.731 0.151
In: 0.424 0.424 0.278
In: 0.576 0.576 0.722

DFT formation energy   -0.290 eV/atom
Space-group type   C2/m, No. 12
Total energy   -0.167 hartree per atom
Spin magnetization   0.000 μB per atom
N(E_F)   8.34 states/eV/f.u.
V   31.38 Å³/atom

---

Question: Which value of V does entry 3 give?
Answer: 31.38 Å³/atom